Here is an optimized crystal structure of Ce6BiAs3Se2 from Alexandria via LeMat-Bulk. Energies are from GGA-PBE.

Results
Formation energy from raw total energies in meV per atom: -1443
Crystal system: monoclinic
DFT total energy in eV/atom: -6.48
ρ in g cm⁻³: 7.12

Structure (CIF):
```
data_Ce6BiAs3Se2
_chemical_formula_sum 'Ce12 Bi2 As6 Se4'
_symmetry_space_group_name_H-M 'C 1 2/m 1'
_symmetry_Int_Tables_number 12
_symmetry_space_group_name_Hall '-C 2y'
_cell_length_a 18.700
_cell_length_b 4.274
_cell_length_c 8.601
_cell_angle_alpha 90.00
_cell_angle_beta 103.65
_cell_angle_gamma 90.00
loop_
_atom_site_label
_atom_site_type_symbol
_atom_site_fract_x
_atom_site_fract_y
_atom_site_fract_z
Ce1 Ce 0.000 0.000 0.232
Ce2 Ce 0.165 0.500 0.087
Ce3 Ce 0.174 0.500 0.583
Bi1 Bi 0.000 0.500 0.500
As1 As 0.000 0.500 0.000
As2 As 0.164 0.000 0.332
Se1 Se 0.168 0.000 0.835
```